Nd4HgSb2 | GGA-PBE | relaxed

Calculated values
The space group is No. 12. The formation energy without anion corrections is -0.649 eV per atom.

abc: 4.3608 7.7603 8.4073
angles: 116.74 105.03 90.00
Fractional positions:
Hg 0.0000 0.0000 0.0000
Nd 0.3765 0.6824 0.7531
Nd 0.8788 0.2258 0.7576
Sb 0.7572 0.7648 0.5144
Nd 0.6235 0.3176 0.2469
Nd 0.1212 0.7742 0.2424
Sb 0.2428 0.2352 0.4856

Nd3Hg2Sb | GGA-PBE | relaxed

Calculated values
The space group is No. 65. The formation energy without anion corrections is -0.654 eV per atom.

abc: 3.9998 5.3054 8.5083
angles: 108.17 90.00 90.00
Fractional positions:
Nd 0.5000 0.8382 0.6763
Hg 0.0000 0.3198 0.6396
Nd 0.5000 0.1618 0.3237
Sb 0.0000 0.0000 0.0000
Nd 0.5000 0.5000 0.0000
Hg 0.0000 0.6802 0.3604

Nd2HgSb | GGA-PBE | relaxed

Calculated values
The space group is No. 225. The distance to the lowest polymorph of the same formula comes out at 0.39 eV per formula unit. The formation energy without anion corrections is -0.679 eV per atom.

abc: 5.4442 5.4442 5.4442
angles: 60.00 60.00 60.00
Fractional positions:
Nd 0.7500 0.7500 0.7500
Sb 0.5000 0.5000 0.5000
Nd 0.2500 0.2500 0.2500
Hg 0.0000 0.0000 0.0000

Nd2HgSb | GGA-PBE | relaxed

Calculated values
The space group is No. 160. The distance to the lowest polymorph of the same formula comes out at 0.39 eV per formula unit. The formation energy without anion corrections is -0.679 eV per atom.

abc: 4.3288 4.3288 8.4191
angles: 75.10 75.10 60.00
Fractional positions:
Sb 0.6673 0.6673 0.9980
Hg 0.4992 0.4992 0.5024
Nd 0.2558 0.2558 0.2325
Nd 0.0776 0.0776 0.7671

Nd3Hg12Sb5 | GGA-PBE | relaxed

Calculated values
The space group is No. 230. The formation energy without anion corrections is 0.057 eV per atom.

abc: 15.1494 15.1494 15.1494
angles: 109.47 109.47 109.47
Fractional positions:
Sb 0.7500 0.1250 0.8750
Hg 0.6735 0.4465 0.5741
Hg 0.1735 0.0993 0.7269
Nd 0.6250 0.2500 0.3750
Sb 0.5000 0.0000 0.0000
Sb 0.0000 0.0000 0.0000
Sb 0.8750 0.6250 0.7500
Hg 0.8265 0.9007 0.2731
Hg 0.5993 0.7269 0.6735
Hg 0.4465 0.6735 0.0741
Hg 0.9007 0.8265 0.7731
Hg 0.1735 0.0741 0.9465
Hg 0.4007 0.2731 0.3265
Hg 0.7731 0.4465 0.3724
Sb 0.0000 0.5000 0.5000
Hg 0.5741 0.9465 0.6735
Hg 0.9465 0.5741 0.1735
Nd 0.7500 0.8750 0.6250
Nd 0.8750 0.1250 0.2500
Hg 0.3724 0.9465 0.7731
Hg 0.0535 0.4259 0.8265
Hg 0.5741 0.6276 0.4007
Hg 0.6735 0.2269 0.5993
Sb 0.0000 0.0000 0.5000
Hg 0.6276 0.0535 0.2269
Hg 0.4259 0.3724 0.5993
Hg 0.5535 0.3265 0.9259
Hg 0.7731 0.3265 0.9007
Hg 0.7269 0.5993 0.1735
Nd 0.7500 0.3750 0.1250
Hg 0.3724 0.4259 0.0993
Sb 0.5000 0.5000 0.5000
Nd 0.3750 0.7500 0.6250
Hg 0.3265 0.5535 0.4259
Sb 0.7500 0.6250 0.3750
Hg 0.1276 0.7269 0.5535
Nd 0.3750 0.6250 0.2500
Nd 0.2500 0.1250 0.3750
Hg 0.9465 0.3724 0.2731
Sb 0.8750 0.2500 0.6250
Nd 0.6250 0.3750 0.7500
Hg 0.2269 0.6735 0.0993
Hg 0.4465 0.7731 0.8724
Hg 0.8724 0.5993 0.9259
Sb 0.1250 0.3750 0.2500
Sb 0.3750 0.1250 0.7500
Sb 0.2500 0.8750 0.1250
Hg 0.8724 0.2731 0.4465
Sb 0.0000 0.5000 0.0000
Sb 0.3750 0.2500 0.1250
Nd 0.2500 0.6250 0.8750
Hg 0.2731 0.4007 0.8265
Hg 0.3265 0.7731 0.4007
Sb 0.1250 0.7500 0.3750
Hg 0.6276 0.5741 0.9007
Hg 0.8265 0.9259 0.0535
Hg 0.2269 0.5535 0.6276
Hg 0.0993 0.9259 0.3724
Sb 0.2500 0.3750 0.6250
Hg 0.2731 0.8724 0.9465
Hg 0.5993 0.8724 0.4259
Hg 0.1276 0.4007 0.0741
Hg 0.0741 0.9007 0.1276
Sb 0.5000 0.0000 0.5000
Sb 0.6250 0.7500 0.8750
Hg 0.9259 0.8265 0.5535
Hg 0.0535 0.6276 0.7269
Nd 0.1250 0.2500 0.8750
Hg 0.4259 0.0535 0.3265
Hg 0.0741 0.1735 0.4465
Nd 0.1250 0.8750 0.7500
Sb 0.6250 0.8750 0.2500
Hg 0.4007 0.1276 0.5741
Hg 0.7269 0.1276 0.0535
Hg 0.9007 0.0741 0.6276
Sb 0.5000 0.5000 0.0000
Nd 0.8750 0.7500 0.1250
Hg 0.9259 0.0993 0.8724
Hg 0.0993 0.1735 0.2269
Hg 0.5535 0.2269 0.1276

Nd3HgSb2 | GGA-PBE | relaxed

Calculated values
The space group is No. 15. The formation energy without anion corrections is -0.862 eV per atom.

abc: 6.3570 9.0054 7.8560
angles: 106.65 113.87 90.00
Fractional positions:
Nd 0.8228 0.9114 0.6457
Nd 0.4994 0.7500 0.0000
Sb 0.6641 0.5822 0.3284
Hg 0.9993 0.7500 0.0000
Nd 0.8229 0.4114 0.6457
Nd 0.1771 0.5886 0.3543
Hg 0.0007 0.2500 0.0000
Nd 0.5006 0.2500 0.0000
Sb 0.3357 0.9178 0.6716
Sb 0.6643 0.0822 0.3284
Nd 0.1772 0.0886 0.3543
Sb 0.3359 0.4178 0.6716

Nd2HgSb | GGA-PBE | relaxed

Calculated values
The space group is No. 63. The distance to the lowest polymorph of the same formula comes out at 0.00 eV per formula unit. The formation energy without anion corrections is -0.775 eV per atom.

abc: 4.7039 4.2911 12.6413
angles: 99.77 90.00 90.00
Fractional positions:
Nd 0.2500 0.3156 0.6312
Hg 0.2500 0.4571 0.9142
Nd 0.7500 0.9353 0.8706
Hg 0.7500 0.5429 0.0858
Nd 0.2500 0.0647 0.1294
Sb 0.7500 0.8113 0.6226
Nd 0.7500 0.6844 0.3688
Sb 0.2500 0.1887 0.3774

Nd6Hg5Sb | GGA-PBE | relaxed

Calculated values
The space group is No. 12. The formation energy without anion corrections is -0.565 eV per atom.

abc: 5.4407 9.4610 9.4610
angles: 120.72 106.68 106.68
Fractional positions:
Nd 0.2543 0.7540 0.7540
Nd 0.7457 0.2460 0.2460
Hg 0.0000 0.6662 0.3338
Nd 0.7531 0.9179 0.5882
Nd 0.2469 0.0821 0.4118
Hg 0.0000 0.3338 0.6662
Hg 0.5000 0.5000 0.5000
Nd 0.7531 0.5882 0.9179
Hg 0.5000 0.1784 0.8216
Hg 0.5000 0.8216 0.1784
Sb 0.0000 0.0000 0.0000
Nd 0.2469 0.4118 0.0821

Nd2HgSb | GGA-PBE | relaxed

Calculated values
The space group is No. 123. The distance to the lowest polymorph of the same formula comes out at 0.16 eV per formula unit. The formation energy without anion corrections is -0.736 eV per atom.

abc: 4.0257 4.0257 7.0916
angles: 90.00 90.00 90.00
Fractional positions:
Hg 0.5000 0.5000 0.5000
Nd 0.0000 0.0000 0.2440
Nd 0.0000 0.0000 0.7560
Sb 0.5000 0.5000 0.0000

Nd8HgSb5 | GGA-PBE | relaxed

Calculated values
The space group is No. 82. The formation energy without anion corrections is -0.946 eV per atom.

abc: 8.2378 8.2378 8.2378
angles: 109.75 108.91 109.75
Fractional positions:
Sb 0.3759 0.1278 0.0000
Sb 0.0000 0.3758 0.1278
Hg 0.2500 0.5000 0.7500
Nd 0.4817 0.6058 0.2363
Nd 0.6268 0.8915 0.8730
Nd 0.6305 0.3942 0.8759
Nd 0.7637 0.2454 0.3695
Nd 0.1241 0.7546 0.5183
Nd 0.1270 0.7538 0.0186
Sb 0.8722 0.8722 0.2481
Sb 0.5000 0.0000 0.5000
Nd 0.9814 0.1085 0.7353
Sb 0.7519 0.6242 0.6241
Nd 0.2647 0.2462 0.3732

Nd4HgSbSe2 | GGA-PBE | relaxed

Calculated values
The space group is No. 10. The formation energy without anion corrections is -1.309 eV per atom.

abc: 4.3155 7.7376 7.4244
angles: 71.24 90.00 90.00
Fractional positions:
Hg 0.0000 0.5000 0.5000
Nd 0.5000 0.7677 0.2432
Nd 0.0000 0.7638 0.7473
Nd 0.0000 0.2362 0.2527
Nd 0.5000 0.2323 0.7568
Sb 0.5000 0.5000 0.0000
Se 0.0000 0.0000 0.0000
Se 0.5000 0.0000 0.5000

NdSmHgSb | GGA-PBE | relaxed

Calculated values
The space group is No. 216. The formation energy without anion corrections is -0.667 eV per atom.

abc: 5.4156 5.4156 5.4156
angles: 60.00 60.00 60.00
Fractional positions:
Sm 0.2500 0.2500 0.2500
Hg 0.5000 0.5000 0.5000
Sb 0.0000 0.0000 0.0000
Nd 0.7500 0.7500 0.7500

no.,N(E_F) (states/eV/cell)
1,7.4
2,5.8
3,3.2
4,3.6
5,38.8
6,12.3
7,5.5
8,14.6
9,3.9
10,13.2
11,5.7
12,3.3